A relaxed PmTaCo2O6 crystal, computed with PBE with a Hubbard U.

Computed properties:
total energy	-79.13	eV/cell
crystal system	triclinic
density of states at the Fermi level	0.0	states/eV per cell

Cell lengths 5.401, 5.403, 5.772 Å; angles 89.97, 62.13, 60.32 degrees
Fractional positions:
Pm (0.000, 0.000, 0.000)
Ta (0.976, 0.511, 0.539)
Co (0.563, 0.716, 0.158)
Co (0.571, 0.216, 0.643)
O (0.076, 0.571, 0.832)
O (0.086, 0.780, 0.356)
O (0.425, 0.133, 0.357)
O (0.522, 0.904, 0.826)
O (0.741, 0.349, 0.831)
O (0.777, 0.434, 0.357)